1.
A geometry-optimized LiPbAu structure. Source: Alexandria via LeMat-Bulk, functional PBE-GGA.

## Properties
Energy relative to the elements ... -0.278 eV per atom

Lattice parameters (Å, degrees): 5.164 5.164 5.164 137.52 137.35 61.77
Element x y z (fractional)
Au  0.994  0.994  0.000
Pb  0.662  0.662  0.000
Li  0.344  0.344  0.000

=====

2.
A geometry-optimized Li5PbAu structure. Source: Alexandria via LeMat-Bulk, functional PBE-GGA.

## Properties
Energy relative to the elements ... -0.262 eV per atom

Lattice parameters (Å, degrees): 4.291 4.291 7.280 90.00 90.00 90.78
Element x y z (fractional)
Li  0.000  0.000  0.500
Li  0.000  0.500  0.740
Li  0.500  0.000  0.260
Li  0.000  0.500  0.260
Li  0.500  0.000  0.740
Pb  0.000  0.000  0.000
Au  0.500  0.500  0.500

=====

3.
A geometry-optimized Li3Pb2Au2 structure. Source: Alexandria via LeMat-Bulk, functional PBE-GGA.

## Properties
Energy relative to the elements ... -0.362 eV per atom

Lattice parameters (Å, degrees): 4.612 5.085 7.526 111.87 90.00 116.97
Element x y z (fractional)
Au  0.823  0.645  0.805
Au  0.177  0.355  0.195
Pb  0.881  0.762  0.247
Pb  0.119  0.238  0.753
Li  0.633  0.267  0.422
Li  0.367  0.733  0.578
Li  0.500  0.000  0.000

=====

4.
A geometry-optimized Li6Pb5Au structure. Source: Alexandria via LeMat-Bulk, functional PBE-GGA.

## Properties
Energy relative to the elements ... -0.287 eV per atom

Lattice parameters (Å, degrees): 4.858 7.239 7.804 90.00 67.92 90.00
Element x y z (fractional)
Pb  0.345  0.000  0.339
Pb  0.655  0.000  0.661
Pb  0.666  0.500  0.665
Pb  0.334  0.500  0.335
Pb  0.000  0.500  0.000
Li  0.145  0.234  0.691
Li  0.855  0.766  0.309
Li  0.500  0.780  0.000
Li  0.855  0.234  0.309
Li  0.145  0.766  0.691
Li  0.500  0.220  0.000
Au  0.000  0.000  0.000